[1]
{"formula": "PmMgTe", "functional": "PBE", "state": "optimized geometry", "cell": [[-2.430, -3.050, 0.320], [3.719, -2.783, 1.720], [-2.824, 2.580, 3.147]], "species": ["Mg", "Te", "Pm"], "fractional_positions": [[0.167, 0.000, 0.000], [0.167, 0.333, 0.667], [0.667, 0.667, 0.333]], "crystal_system": "hexagonal", "relative_energy_mev_per_atom": 117, "volume_a3_per_cell": 83.2}

[2]
{"formula": "Pm4MgTe5", "functional": "PBE", "state": "optimized geometry", "cell": [[4.371, 0.000, 0.000], [2.185, 3.785, 0.000], [2.185, 1.262, 18.595]], "species": ["Pm", "Pm", "Pm", "Pm", "Mg", "Te", "Te", "Te", "Te", "Te"], "fractional_positions": [[0.900, 0.900, 0.299], [0.298, 0.298, 0.105], [0.702, 0.702, 0.895], [0.100, 0.100, 0.701], [0.500, 0.500, 0.500], [0.401, 0.401, 0.797], [0.000, 0.000, 0.000], [0.599, 0.599, 0.203], [0.803, 0.803, 0.591], [0.197, 0.197, 0.409]], "crystal_system": "trigonal", "relative_energy_mev_per_atom": 0, "volume_a3_per_cell": 307.6}

[3]
{"formula": "Pm4MgTe5", "functional": "PBE", "state": "optimized geometry", "cell": [[-2.219, -1.341, 5.702], [-6.078, -4.687, -0.027], [3.163, -6.213, 3.209]], "species": ["Pm", "Pm", "Pm", "Pm", "Mg", "Te", "Te", "Te", "Te", "Te"], "fractional_positions": [[0.407, 0.401, 0.782], [0.808, 0.782, 0.599], [0.189, 0.218, 0.401], [0.591, 0.599, 0.218], [0.016, 0.000, 0.000], [0.899, 0.379, 0.819], [0.279, 0.819, 0.621], [0.718, 0.181, 0.379], [0.098, 0.621, 0.181], [0.505, 0.000, 0.000]], "crystal_system": "tetragonal", "relative_energy_mev_per_atom": 10, "volume_a3_per_cell": 307.5}

Number 1: raw total energy -3.726 eV per atom, ΔE_f (raw) -0.5640 eV/atom. Number 2: raw total energy -4.910 eV per atom, ΔE_f (raw) -1.2800 eV/atom. Number 3: raw total energy -4.900 eV per atom, ΔE_f (raw) -1.2698 eV/atom.